Record 1
Entry from the Alexandria database: Ba2CuPd after structural relaxation (GGA-PBE).

```
data_Ba2CuPd
_chemical_formula_sum 'Ba6 Cu3 Pd3'
_symmetry_space_group_name_H-M 'R 3 m'
_symmetry_Int_Tables_number 160
_symmetry_space_group_name_Hall 'R 3 -2"'
_cell_length_a 4.5715
_cell_length_b 4.5715
_cell_length_c 24.9838
_cell_angle_alpha 90.00
_cell_angle_beta 90.00
_cell_angle_gamma 120.00
loop_
_atom_site_label
_atom_site_type_symbol
_atom_site_fract_x
_atom_site_fract_y
_atom_site_fract_z
Ba1 Ba 0.0000 0.0000 0.0000
Ba2 Ba 0.0000 0.0000 0.1635
Cu1 Cu 0.0000 0.0000 0.7485
Pd1 Pd 0.0000 0.0000 0.4149
```

Computed properties:
Formation energy ... -0.32 eV/atom
E ... -3.604 eV per atom
Volume ... 37.7 Å³/atom



Record 2
Entry from the Alexandria database: Ba3CuPd after structural relaxation (GGA-PBE).

```
data_Ba3CuPd
_chemical_formula_sum 'Ba6 Cu2 Pd2'
_symmetry_space_group_name_H-M 'P 1 21/m 1'
_symmetry_Int_Tables_number 11
_symmetry_space_group_name_Hall '-P 2yb'
_cell_length_a 8.839
_cell_length_b 4.538
_cell_length_c 9.712
_cell_angle_alpha 90.00
_cell_angle_beta 107.50
_cell_angle_gamma 90.00
loop_
_atom_site_label
_atom_site_type_symbol
_atom_site_fract_x
_atom_site_fract_y
_atom_site_fract_z
Ba1 Ba 0.110 0.250 0.248
Ba2 Ba 0.308 0.250 0.940
Ba3 Ba 0.362 0.750 0.603
Cu1 Cu 0.040 0.250 0.559
Pd1 Pd 0.388 0.750 0.208
```

Computed properties:
Formation energy ... -0.23 eV/atom
E ... -3.244 eV per atom
Volume ... 37.1 Å³/atom
Energy above the lowest structure with this stoichiometry ... 0.000 eV per atom



Record 3
Entry from the Alexandria database: Ba4CuPd after structural relaxation (GGA-PBE).

```
data_Ba4CuPd
_chemical_formula_sum 'Ba4 Cu1 Pd1'
_symmetry_space_group_name_H-M 'P 1 2/m 1'
_symmetry_Int_Tables_number 10
_symmetry_space_group_name_Hall '-P 2y'
_cell_length_a 7.955
_cell_length_b 4.692
_cell_length_c 8.151
_cell_angle_alpha 90.00
_cell_angle_beta 109.91
_cell_angle_gamma 90.00
loop_
_atom_site_label
_atom_site_type_symbol
_atom_site_fract_x
_atom_site_fract_y
_atom_site_fract_z
Ba1 Ba 0.232 0.000 0.250
Ba2 Ba 0.234 0.500 0.738
Cu1 Cu 0.000 0.500 0.000
Pd1 Pd 0.000 0.000 0.500
```

Computed properties:
Formation energy ... -0.20 eV/atom
E ... -3.026 eV per atom
Volume ... 47.7 Å³/atom



Record 4
Entry from the Alexandria database: Ba2CuPd after structural relaxation (GGA-PBE).

```
data_Ba2CuPd
_chemical_formula_sum 'Ba4 Cu2 Pd2'
_symmetry_space_group_name_H-M 'I m m m'
_symmetry_Int_Tables_number 71
_symmetry_space_group_name_Hall '-I 2 2'
_cell_length_a 3.534
_cell_length_b 6.040
_cell_length_c 11.623
_cell_angle_alpha 90.00
_cell_angle_beta 90.00
_cell_angle_gamma 90.00
loop_
_atom_site_label
_atom_site_type_symbol
_atom_site_fract_x
_atom_site_fract_y
_atom_site_fract_z
Ba1 Ba 0.000 0.000 0.245
Cu1 Cu 0.000 0.000 0.500
Pd1 Pd 0.000 0.000 0.000
```

Computed properties:
Formation energy ... 0.71 eV/atom
E ... -2.574 eV per atom
Volume ... 31.0 Å³/atom



Record 5
Entry from the Alexandria database: Ba6CuPd3 after structural relaxation (GGA-PBE).

```
data_Ba6CuPd3
_chemical_formula_sum 'Ba12 Cu2 Pd6'
_symmetry_space_group_name_H-M 'P 1 21/m 1'
_symmetry_Int_Tables_number 11
_symmetry_space_group_name_Hall '-P 2yb'
_cell_length_a 11.776
_cell_length_b 4.560
_cell_length_c 15.992
_cell_angle_alpha 90.00
_cell_angle_beta 110.72
_cell_angle_gamma 90.00
loop_
_atom_site_label
_atom_site_type_symbol
_atom_site_fract_x
_atom_site_fract_y
_atom_site_fract_z
Ba1 Ba 0.012 0.250 0.114
Ba2 Ba 0.051 0.750 0.403
Ba3 Ba 0.259 0.250 0.822
Ba4 Ba 0.332 0.250 0.592
Ba5 Ba 0.352 0.250 0.330
Ba6 Ba 0.365 0.750 0.090
Cu1 Cu 0.411 0.750 0.755
Pd1 Pd 0.171 0.750 0.655
Pd2 Pd 0.173 0.250 0.991
Pd3 Pd 0.419 0.750 0.475
```

Computed properties:
Formation energy ... -0.32 eV/atom
E ... -3.444 eV per atom
Volume ... 40.2 Å³/atom



Record 6
Entry from the Alexandria database: Ba2Cu5Pd5 after structural relaxation (GGA-PBE).

```
data_Ba2Cu5Pd5
_chemical_formula_sum 'Ba2 Cu5 Pd5'
_symmetry_space_group_name_H-M 'P m m m'
_symmetry_Int_Tables_number 47
_symmetry_space_group_name_Hall '-P 2 2'
_cell_length_a 4.285
_cell_length_b 5.406
_cell_length_c 9.647
_cell_angle_alpha 90.00
_cell_angle_beta 90.00
_cell_angle_gamma 90.00
loop_
_atom_site_label
_atom_site_type_symbol
_atom_site_fract_x
_atom_site_fract_y
_atom_site_fract_z
Ba1 Ba 0.000 0.000 0.000
Ba2 Ba 0.000 0.500 0.500
Cu1 Cu 0.500 0.000 0.500
Cu2 Cu 0.500 0.248 0.253
Pd1 Pd 0.000 0.000 0.334
Pd2 Pd 0.000 0.500 0.182
Pd3 Pd 0.500 0.500 0.000
```

Computed properties:
Formation energy ... -0.27 eV/atom
E ... -4.457 eV per atom
Volume ... 18.6 Å³/atom